NaNi3F after structural relaxation. Source: Alexandria via LeMat-Bulk, functional PBE with a Hubbard U.

Values from the calculation:
D(E_F) (states/eV per cell): 1.90
Energy above the lowest structure with this stoichiometry (eV per formula unit): 4.737
DFT total energy (eV/atom): -0.955

Cell and atoms, written as POSCAR:
```
NaNi3F
1.0
4.690 0.000 0.000
0.000 4.690 0.000
0.000 0.000 4.690
Na Ni F
1 3 1
Direct
0.000 0.000 0.000
0.000 0.000 0.500
0.000 0.500 0.000
0.500 0.000 0.000
0.500 0.500 0.500
```